No. 1
NaTl4Pb7, optimized geometry, DFT PBE-GGA; ΔE_f = 0.069 eV/atom; E = -2.99 eV per atom
1.0
6.058 -2.969 0.000
6.058 2.969 0.000
-4.120 0.000 10.973
Na Tl Pb
1 4 7
Cartesian
0.000 0.000 0.000
-1.678 0.000 8.437
1.834 0.000 7.745
6.162 0.000 3.228
9.673 0.000 2.536
-0.348 0.000 5.154
3.039 0.000 0.941
2.836 0.000 4.270
6.058 0.000 0.000
5.160 0.000 6.703
4.957 0.000 10.032
8.343 0.000 5.819

***

No. 2
MgSbAs2, optimized geometry, DFT PBE-GGA; distance to the lowest polymorph of the same formula = 0.36 eV/f.u.; E = -3.83 eV per atom; formation energy (no corrections) = -0.08 eV per atom
1.0
-3.074 3.074 6.394
3.074 -3.074 6.394
3.074 3.074 -6.394
Mg Sb As
2 2 4
Cartesian
0.000 0.000 0.000
0.000 3.074 3.197
3.074 0.000 3.197
0.000 0.000 6.394
4.611 1.469 -1.599
1.469 1.537 1.599
-1.537 1.605 4.796
1.605 1.537 7.993